Here is a relaxed ZrH3 crystal from OQMD via LeMat-Bulk. Energies are from GGA-PBE.

Values from the calculation:
ρ = 5524 kg/m3
Electronic total energy = -160.380 eV for the cell shown
Magnetization = 0.00 μB/atom

The structure in CIF format:
```
data_ZrH3
_cell_length_a 6.097
_cell_length_b 6.097
_cell_length_c 6.097
_cell_angle_alpha 90.00
_cell_angle_beta 90.00
_cell_angle_gamma 90.00
_space_group_name_H-M_alt 'P 1'
_space_group_IT_number 1
_space_group_name_Hall 'P 1'
loop_
_atom_site_label
_atom_site_type_symbol
_atom_site_fract_x
_atom_site_fract_y
_atom_site_fract_z
H1 H 0.803 0.500 0.657
H2 H 0.197 0.500 0.657
Zr1 Zr 0.500 0.000 0.250
H3 H 0.843 0.000 0.303
H4 H 0.343 0.197 0.500
H5 H 0.500 0.657 0.803
H6 H 0.303 0.843 0.000
H7 H 0.343 0.803 0.500
H8 H 0.697 0.157 0.000
Zr2 Zr 0.250 0.500 0.000
H9 H 0.843 0.000 0.697
H10 H 0.500 0.343 0.197
H11 H 0.000 0.303 0.843
H12 H 0.500 0.343 0.803
H13 H 0.500 0.657 0.197
Zr3 Zr 0.500 0.000 0.750
H14 H 0.197 0.500 0.343
H15 H 0.803 0.500 0.343
H16 H 0.157 0.000 0.303
Zr4 Zr 0.000 0.750 0.500
H17 H 0.000 0.697 0.843
Zr5 Zr 0.500 0.500 0.500
H18 H 0.000 0.697 0.157
H19 H 0.303 0.157 0.000
H20 H 0.000 0.303 0.157
H21 H 0.657 0.803 0.500
Zr6 Zr 0.000 0.250 0.500
H22 H 0.157 0.000 0.697
Zr7 Zr 0.000 0.000 0.000
Zr8 Zr 0.750 0.500 0.000
H23 H 0.697 0.843 0.000
H24 H 0.657 0.197 0.500
```